{
  "formula": "Ce2AsAu",
  "functional": "PBE",
  "state": "optimized geometry",
  "lattice": [[3.712, 0.000, 0.000], [0.000, 3.712, 0.000], [0.000, 0.000, 7.081]],
  "species": ["Ce", "Ce", "As", "Au"],
  "fractional_positions": [[0.000, 0.000, 0.233], [0.000, 0.000, 0.767], [0.500, 0.500, 0.000], [0.500, 0.500, 0.500]],
  "formation_energy_ev_per_atom": -0.871,
  "space_group": "P4/mmm, No. 123",
  "volume_a3_per_cell": 97.6,
  "dos_ef_per_ev_atom": 2.93,
  "dft_energy_ev_per_atom": -5.8196
}